DyZrPb2 | PBE-GGA | optimized geometry

VASP energy in eV/atom: -5.3629

The structure in CIF format:
```
data_DyZrPb2
_space_group_name_H-M_alt 'P 1'
_space_group_IT_number 1
_cell_length_a 4.443
_cell_length_b 4.820
_cell_length_c 4.820
_cell_angle_alpha 90.00
_cell_angle_beta 90.00
_cell_angle_gamma 90.00
loop_
_space_group_symop_operation_xyz
'x,y,z'
loop_
_atom_site_label
_atom_site_fract_x
_atom_site_fract_y
_atom_site_fract_z
Pb1 0.000 0.000 0.500
Pb2 0.000 0.500 0.000
Zr1 0.500 0.000 0.000
Dy1 0.500 0.500 0.500
```